*i*
Density functional theory data (GGA-PBE) for Ba2MgS after structural relaxation.

Structure (extended XYZ):
```
8
Lattice="-2.637 -6.175 -5.812 6.120 -5.599 3.171 -1.303 -7.476 1.749" Properties=species:S:1:pos:R:3 pbc="T T T"
Mg 1.741 -5.887 -1.320
Mg 3.279 -9.480 1.800
Ba -0.040 -9.684 0.130
Ba -1.368 -6.800 -3.149
S 0.000 0.000 0.000
Ba 3.329 -5.767 2.043
S -1.099 -9.768 -2.691
Ba 2.440 -16.246 -0.807
```

Properties
space group = I-42d
total moment = 0.0 μB per cell
calculated density = 3.03 g cm⁻³


*ii*
Density functional theory data (GGA-PBE) for Ba2MgS after structural relaxation.

Structure (extended XYZ):
```
4
Lattice="4.310 0.000 0.000 2.155 3.732 0.000 2.155 1.244 11.214" Properties=species:S:1:pos:R:3 pbc="T T T"
S 4.310 2.488 5.607
Ba 6.465 3.732 3.752
Mg 0.000 0.000 0.000
Ba 2.155 1.244 7.462
```

Properties
space group = R-3m
total moment = 0.0 μB per cell
calculated density = 3.05 g cm⁻³


*iii*
Density functional theory data (GGA-PBE) for Ba2MgS after structural relaxation.

Structure (extended XYZ):
```
4
Lattice="5.187 -1.018 -2.431 3.574 -3.961 2.321 0.977 -5.018 -2.776" Properties=species:S:1:pos:R:3 pbc="T T T"
S 4.869 -4.999 -1.443
Ba 2.434 -2.499 -0.721
Ba 7.303 -7.498 -2.164
Mg 0.000 0.000 0.000
```

Properties
space group = Fm-3m
total moment = 0.0 μB per cell
calculated density = 3.95 g cm⁻³


Short version: *i* is the most stable of them.


*i*
Density functional theory data (GGA-PBE) for BaMg3S after structural relaxation.

Structure (extended XYZ):
```
5
Lattice="-4.144 3.128 -1.131 -1.212 0.262 5.167 3.097 4.287 0.509" Properties=species:S:1:pos:R:3 pbc="T T T"
Ba -1.129 3.839 2.272
Mg 1.548 2.144 0.254
S 0.000 0.000 0.000
Mg -2.072 1.564 -0.565
Mg -0.606 0.131 2.583
```

Properties
space group = Pm-3m
total moment = 0.0 μB per cell
calculated density = 2.68 g cm⁻³


*ii*
Density functional theory data (GGA-PBE) for BaMg3S after structural relaxation.

Structure (extended XYZ):
```
5
Lattice="-4.169 -4.623 2.269 1.803 -4.045 -4.928 4.823 -2.483 3.804" Properties=species:S:1:pos:R:3 pbc="T T T"
Ba 0.000 0.000 0.000
S 1.229 -5.576 0.572
Mg 0.902 -2.023 -2.464
Mg 2.412 -1.242 1.902
Mg -2.085 -2.311 1.134
```

Properties
space group = Pm-3m
total moment = 0.1 μB per cell
calculated density = 1.38 g cm⁻³


Short version: *i* is the most stable of them.


*i*
Density functional theory data (GGA-PBE) for BaMgSb3 after structural relaxation.

Structure (extended XYZ):
```
5
Lattice="6.215 0.000 0.000 0.000 6.215 0.000 0.000 0.000 6.215" Properties=species:S:1:pos:R:3 pbc="T T T"
Sb 0.000 0.000 3.107
Ba 0.000 0.000 0.000
Sb 3.107 0.000 0.000
Sb 0.000 3.107 0.000
Mg 3.107 3.107 3.107
```

Properties
space group = Pm-3m
total moment = 0.0 μB per cell
calculated density = 3.65 g cm⁻³


*ii*
Density functional theory data (GGA-PBE) for BaMgSb3 after structural relaxation.

Structure (extended XYZ):
```
5
Lattice="-2.331 -1.086 4.882 0.009 -5.387 -1.194 5.001 -0.497 2.277" Properties=species:S:1:pos:R:3 pbc="T T T"
Sb 0.004 -2.694 -0.597
Mg 0.000 0.000 0.000
Sb -1.165 -0.543 2.441
Ba 1.340 -3.485 2.983
Sb 2.501 -0.248 1.139
```

Properties
space group = Pm-3m
total moment = 0.0 μB per cell
calculated density = 5.21 g cm⁻³


Short version: *ii* is the most stable of them.